[1]
Density functional theory data (PBE-GGA) for a relaxed structure of PaPS4Br.

Cell: 7.0585 7.0585 7.9527 Å, 103.01 103.01 73.55°
Fractional coordinates of all 14 atoms:
Pa  0.2239  0.2239  0.1141
Pa  0.7761  0.7761  0.8859
P  0.3627  0.3627  0.7137
P  0.6373  0.6373  0.2863
S  0.1354  0.4929  0.8853
S  0.2328  0.2328  0.4780
S  0.4597  0.4597  0.3029
S  0.4929  0.1354  0.8853
S  0.5071  0.8646  0.1147
S  0.5403  0.5403  0.6971
S  0.7672  0.7672  0.5220
S  0.8646  0.5071  0.1147
Br  0.0188  0.0188  0.7974
Br  0.9812  0.9812  0.2026

Output
SG   C2/m, No. 12
E_tot   -5.5116 eV per atom

---

[2]
Density functional theory data (PBE-GGA) for a relaxed structure of TiFe2ReH.

Cell: 3.7056 3.7056 3.8751 Å, 90.00 90.00 90.00°
Fractional coordinates of all 5 atoms:
Ti  0.0000  0.0000  0.0000
Fe  0.0000  0.5000  0.5000
Fe  0.5000  0.0000  0.5000
Re  0.5000  0.5000  0.0000
H  0.0000  0.0000  0.5000

Output
Offset from the most stable computed form   0.000 eV/atom
SG   P4/mmm, No. 123

---

[3]
Density functional theory data (PBE-GGA) for a relaxed structure of HoPa3Sb4.

Cell: 7.5797 8.7302 7.5480 Å, 90.00 109.46 90.00°
Fractional coordinates of all 16 atoms:
Ho  0.0000  0.1232  0.2500
Ho  0.0000  0.8768  0.7500
Pa  0.0000  0.3756  0.7500
Pa  0.0000  0.6244  0.2500
Pa  0.5000  0.1256  0.7500
Pa  0.5000  0.3770  0.2500
Pa  0.5000  0.6230  0.7500
Pa  0.5000  0.8744  0.2500
Sb  0.2473  0.3725  0.4977
Sb  0.2473  0.6275  0.9977
Sb  0.2486  0.1246  0.0005
Sb  0.2486  0.8754  0.5005
Sb  0.7514  0.1246  0.4995
Sb  0.7514  0.8754  0.9995
Sb  0.7527  0.3725  0.0023
Sb  0.7527  0.6275  0.5023

Output
SG   P2/c, No. 13
E_tot   -6.7863 eV per atom

---

[4]
Density functional theory data (PBE-GGA) for a relaxed structure of Mg6NiBi2.

Cell: 7.8273 7.8273 3.8994 Å, 90.00 90.00 120.00°
Fractional coordinates of all 9 atoms:
Mg  0.0000  0.2286  0.0000
Mg  0.0000  0.6489  0.5000
Mg  0.2286  0.0000  0.0000
Mg  0.3511  0.3511  0.5000
Mg  0.6489  0.0000  0.5000
Mg  0.7714  0.7714  0.0000
Ni  0.0000  0.0000  0.5000
Bi  0.3333  0.6667  0.0000
Bi  0.6667  0.3333  0.0000

Output
SG   P-62m, No. 189
E_tot   -2.7477 eV per atom

---

Number 1: D(E_F) 2.49 states/eV per cell, spin magnetization 0.0 μB per formula unit. Number 2: D(E_F) 5.20 states/eV per cell, spin magnetization 1.7 μB per formula unit. Number 3: D(E_F) 27.91 states/eV per cell, spin magnetization 2.1 μB per formula unit. Number 4: D(E_F) 3.14 states/eV per cell, spin magnetization 0.0 μB per formula unit.